{"formula": "Hg6As2ICl2", "functional": "PBE-GGA", "state": "relaxed", "n_ef_per_ev_atom": 0.090, "formation_energy_uncorrected_mev_per_atom": -198, "cell": [[5.8898, 0.0000, 0.0000], [-2.1541, 7.9898, 0.0000], [-0.0658, -3.8105, 7.8155]], "species": ["Hg", "Hg", "Hg", "Hg", "Hg", "Hg", "As", "As", "I", "Cl", "Cl"], "fractional_positions": [[0.1864, 0.2543, 0.3712], [0.2607, 0.4068, 0.0494], [0.2724, 0.7734, 0.1176], [0.7276, 0.2266, 0.8824], [0.7393, 0.5932, 0.9506], [0.8136, 0.7457, 0.6288], [0.2157, 0.0661, 0.0584], [0.7843, 0.9339, 0.9416], [0.5000, 0.0000, 0.5000], [0.2113, 0.4787, 0.6639], [0.7887, 0.5213, 0.3361]]}